Compound: Pm3AgIr
Source: Alexandria
Functional: PBE
Structure: optimized geometry

```
Pm3AgIr
1.0
8.859 0.000 0.000
0.000 6.833 0.000
-4.885 0.000 9.095
Pm Ag Ir
12 4 4
Direct
0.126 0.041 0.318
0.126 0.459 0.818
0.239 0.506 0.541
0.239 0.994 0.041
0.314 0.505 0.207
0.314 0.995 0.707
0.686 0.005 0.293
0.686 0.495 0.793
0.761 0.006 0.959
0.761 0.494 0.459
0.874 0.541 0.182
0.874 0.959 0.682
0.493 0.707 0.993
0.493 0.793 0.493
0.507 0.207 0.507
0.507 0.293 0.007
0.016 0.211 0.535
0.016 0.289 0.035
0.984 0.711 0.965
0.984 0.789 0.465
```

Calculated values
Relative energy among the computed polymorphs = 0 meV per atom


Compound: Pm2AgIr2
Source: Alexandria
Functional: PBE
Structure: optimized geometry

```
Pm2AgIr2
1.0
-2.258 2.960 4.150
2.258 -2.960 4.150
2.258 2.960 -4.150
Pm Ag Ir
2 1 2
Direct
0.209 0.209 0.000
0.791 0.791 0.000
0.500 0.000 0.500
0.215 0.500 0.715
0.785 0.500 0.285
```


Compound: Pm3AgIr2
Source: Alexandria
Functional: PBE
Structure: optimized geometry

```
Pm3AgIr2
1.0
3.554 0.000 0.000
0.000 3.554 0.000
0.000 0.000 11.133
Pm Ag Ir
3 1 2
Direct
0.000 0.000 0.000
0.000 0.000 0.308
0.000 0.000 0.692
0.500 0.500 0.500
0.500 0.500 0.162
0.500 0.500 0.838
```

Calculated values
Relative energy among the computed polymorphs = 0 meV per atom


Compound: Pm3AgIr2
Source: Alexandria
Functional: PBE
Structure: optimized geometry

```
Pm3AgIr2
1.0
2.544 -7.475 0.000
2.544 7.475 0.000
0.000 0.000 3.627
Pm Ag Ir
3 1 2
Direct
0.000 0.000 0.000
0.324 0.676 0.000
0.676 0.324 0.000
0.500 0.500 0.500
0.163 0.837 0.500
0.837 0.163 0.500
```

Calculated values
Relative energy among the computed polymorphs = 12 meV per atom


Compound: Pm12Ag2Ir5
Source: Alexandria
Functional: PBE
Structure: optimized geometry

```
Pm12Ag2Ir5
1.0
8.257 -3.627 0.000
8.257 3.627 0.000
-2.415 0.000 9.066
Pm Ag Ir
12 2 5
Direct
0.002 0.002 0.285
0.058 0.575 0.887
0.100 0.595 0.441
0.405 0.900 0.559
0.425 0.942 0.113
0.457 0.457 0.199
0.543 0.543 0.801
0.575 0.058 0.887
0.595 0.100 0.441
0.900 0.405 0.559
0.942 0.425 0.113
0.998 0.998 0.715
0.197 0.803 0.000
0.803 0.197 0.000
0.175 0.175 0.836
0.201 0.201 0.355
0.500 0.500 0.500
0.799 0.799 0.645
0.825 0.825 0.164
```


Compound: Pm6AgIr2
Source: Alexandria
Functional: PBE
Structure: optimized geometry

```
Pm6AgIr2
1.0
6.012 -2.787 0.000
6.012 2.787 0.000
-5.934 0.000 7.501
Pm Ag Ir
6 1 2
Direct
0.087 0.087 0.381
0.342 0.342 0.329
0.346 0.346 0.966
0.654 0.654 0.034
0.658 0.658 0.671
0.913 0.913 0.619
0.000 0.000 0.000
0.397 0.397 0.683
0.603 0.603 0.317
```


Compound: PmAgIr
Source: Alexandria
Functional: PBE
Structure: optimized geometry

```
PmAgIr
1.0
4.593 0.000 0.000
-2.296 3.977 0.000
0.000 0.000 3.604
Pm Ag Ir
1 1 1
Direct
0.000 0.000 0.000
0.667 0.333 0.500
0.333 0.667 0.500
```

Calculated values
Relative energy among the computed polymorphs = 0 meV per atom


Compound: Pm4Ag2Ir
Source: Alexandria
Functional: PBE
Structure: optimized geometry

```
Pm4Ag2Ir
1.0
2.579 1.489 8.369
-2.579 1.489 8.369
0.000 -2.978 8.369
Pm Ag Ir
4 2 1
Direct
0.119 0.119 0.119
0.371 0.371 0.371
0.629 0.629 0.629
0.881 0.881 0.881
0.244 0.244 0.244
0.756 0.756 0.756
0.000 0.000 0.000
```

Calculated values
Relative energy among the computed polymorphs = 0 meV per atom


Compound: Pm3Ag2Ir
Source: Alexandria
Functional: PBE
Structure: optimized geometry

```
Pm3Ag2Ir
1.0
2.557 -7.628 0.000
2.557 7.628 0.000
0.000 0.000 7.548
Pm Ag Ir
6 4 2
Direct
0.000 0.000 0.236
0.000 0.000 0.764
0.326 0.674 0.229
0.326 0.674 0.771
0.674 0.326 0.229
0.674 0.326 0.771
0.168 0.832 0.500
0.500 0.500 0.000
0.500 0.500 0.500
0.832 0.168 0.500
0.159 0.841 0.000
0.841 0.159 0.000
```

Calculated values
Relative energy among the computed polymorphs = 0 meV per atom


Compound: PmSmAgIr
Source: Alexandria
Functional: PBE
Structure: optimized geometry

```
PmSmAgIr
1.0
0.000 3.599 3.599
3.599 0.000 3.599
3.599 3.599 0.000
Pm Sm Ag Ir
1 1 1 1
Direct
0.000 0.000 0.000
0.500 0.500 0.500
0.250 0.250 0.250
0.750 0.750 0.750
```


Compound: PmAgSnIr
Source: Alexandria
Functional: PBE
Structure: optimized geometry

```
PmAgSnIr
1.0
0.000 3.470 3.470
3.470 0.000 3.470
3.470 3.470 0.000
Pm Ag Sn Ir
1 1 1 1
Direct
0.000 0.000 0.000
0.750 0.750 0.750
0.500 0.500 0.500
0.250 0.250 0.250
```


Compound: Pm2AgSn4Ir3
Source: Alexandria
Functional: PBE
Structure: optimized geometry

```
Pm2AgSn4Ir3
1.0
4.517 0.000 0.000
0.000 4.517 0.000
0.000 0.000 10.977
Pm Ag Sn Ir
2 1 4 3
Direct
0.000 0.500 0.242
0.500 0.000 0.758
0.000 0.000 0.500
0.000 0.000 0.000
0.000 0.500 0.636
0.500 0.000 0.364
0.500 0.500 0.000
0.000 0.500 0.870
0.500 0.000 0.130
0.500 0.500 0.500
```


Sequential magnetic moment output: 0.000; 0.000; 0.000; 0.000; 0.000; 0.000; 0.000; 0.000; 0.000; 0.000; 0.000; 0.000 μB/cell
Sequential uncorrected energy output: -111.937; -32.828; -38.050; -37.980; -114.540; -51.864; -17.044; -35.489; -62.696; -23.111; -21.908; -59.813 eV per cell